(1)
Below is a relaxed Y3PPb crystal, with properties calculated at the PBE-GGA level.

Values from the calculation:
Its volume is 26.19 Å³/atom. The calculation puts the density of states at the Fermi level at 0.50 states/eV/atom. The energy relative to the elements comes out at -0.839 eV/atom.

Cell lengths 3.980, 8.136, 8.088 Å; angles 90.00, 90.00, 90.00 degrees
Positions (direct):
Y: 0.000 0.077 0.000
Y: 0.000 0.363 0.682
Y: 0.000 0.637 0.182
Y: 0.000 0.923 0.500
Y: 0.500 0.234 0.348
Y: 0.500 0.766 0.848
P: 0.500 0.091 0.687
P: 0.500 0.909 0.187
Pb: 0.500 0.400 0.995
Pb: 0.500 0.600 0.495


(2)
Below is a relaxed Y3PPb crystal, with properties calculated at the PBE-GGA level.

Values from the calculation:
Its volume is 29.12 Å³/atom. The calculation puts the density of states at the Fermi level at 0.70 states/eV/atom. The energy relative to the elements comes out at -0.772 eV/atom.

Cell lengths 5.261, 5.261, 5.261 Å; angles 90.00, 90.00, 90.00 degrees
Positions (direct):
Y: 0.000 0.000 0.500
Y: 0.000 0.500 0.000
Y: 0.500 0.000 0.000
P: 0.000 0.000 0.000
Pb: 0.500 0.500 0.500


(3)
Below is a relaxed ZnP2Pb crystal, with properties calculated at the PBE-GGA level.

Values from the calculation:
Its volume is 20.14 Å³/atom. The calculation puts the density of states at the Fermi level at 0.39 states/eV/atom. The energy relative to the elements comes out at 0.248 eV/atom.

Cell lengths 3.511, 3.511, 6.533 Å; angles 90.00, 90.00, 90.00 degrees
Positions (direct):
Zn: 0.000 0.000 0.000
P: 0.500 0.500 0.168
P: 0.500 0.500 0.832
Pb: 0.000 0.000 0.500


(4)
Below is a relaxed ZnP2Pb crystal, with properties calculated at the PBE-GGA level.

Values from the calculation:
Its volume is 21.21 Å³/atom. The calculation puts the density of states at the Fermi level at 0.28 states/eV/atom. The energy relative to the elements comes out at 0.207 eV/atom.

Cell lengths 5.366, 5.366, 5.571 Å; angles 113.05, 113.05, 35.45 degrees
Positions (direct):
Zn: 0.000 0.000 0.000
P: 0.398 0.398 0.293
P: 0.730 0.730 0.163
Pb: 0.228 0.228 0.647


(5)
Below is a relaxed Zn2PPb crystal, with properties calculated at the PBE-GGA level.

Values from the calculation:
Its volume is 24.87 Å³/atom. The calculation puts the density of states at the Fermi level at 0.21 states/eV/atom. The energy relative to the elements comes out at 0.124 eV/atom.

Cell lengths 6.591, 6.591, 6.591 Å; angles 121.10, 121.10, 88.10 degrees
Positions (direct):
Zn: 0.050 0.625 0.925
Zn: 0.375 0.300 0.425
Zn: 0.700 0.125 0.075
Zn: 0.875 0.950 0.575
P: 0.000 0.000 0.000
P: 0.750 0.250 0.500
Pb: 0.250 0.750 0.500
Pb: 0.500 0.500 0.000


(6)
Below is a relaxed ZnP2Pb crystal, with properties calculated at the PBE-GGA level.

Values from the calculation:
Its volume is 20.16 Å³/atom. The calculation puts the density of states at the Fermi level at 0.58 states/eV/atom. The energy relative to the elements comes out at 0.198 eV/atom.

Cell lengths 6.694, 6.694, 6.694 Å; angles 33.33, 33.33, 33.33 degrees
Positions (direct):
Zn: 0.000 0.000 0.000
P: 0.266 0.266 0.266
P: 0.734 0.734 0.734
Pb: 0.500 0.500 0.500


(7)
Below is a relaxed ZnP2Pb crystal, with properties calculated at the PBE-GGA level.

Values from the calculation:
Its volume is 20.15 Å³/atom. The calculation puts the density of states at the Fermi level at 0.49 states/eV/atom. The energy relative to the elements comes out at 0.537 eV/atom.

Cell lengths 4.534, 4.534, 3.922 Å; angles 90.00, 90.00, 90.00 degrees
Positions (direct):
Zn: 0.000 0.000 0.000
P: 0.000 0.500 0.500
P: 0.500 0.000 0.500
Pb: 0.500 0.500 0.000


(8)
Below is a relaxed ZnP2Pb crystal, with properties calculated at the PBE-GGA level.

Values from the calculation:
Its volume is 22.59 Å³/atom. The calculation puts the density of states at the Fermi level at 0.40 states/eV/atom. The energy relative to the elements comes out at 0.069 eV/atom.

Cell lengths 5.771, 5.771, 5.280 Å; angles 108.07, 108.07, 32.89 degrees
Positions (direct):
Zn: 0.000 0.000 0.000
P: 0.233 0.233 0.125
P: 0.767 0.767 0.875
Pb: 0.500 0.500 0.500


(9)
Below is a relaxed ZnP14Pb crystal, with properties calculated at the PBE-GGA level.

Values from the calculation:
Its volume is 27.12 Å³/atom. The energy relative to the elements comes out at 0.015 eV/atom.

Cell lengths 14.448, 9.673, 12.421 Å; angles 90.00, 90.00, 90.00 degrees
Positions (direct):
Zn: 0.104 0.250 0.135
Zn: 0.396 0.750 0.635
Zn: 0.604 0.250 0.365
Zn: 0.896 0.750 0.865
P: 0.033 0.068 0.863
P: 0.033 0.432 0.863
P: 0.048 0.250 0.758
P: 0.058 0.750 0.837
P: 0.063 0.075 0.375
P: 0.063 0.425 0.375
P: 0.073 0.571 0.728
P: 0.073 0.929 0.728
P: 0.083 0.750 0.343
P: 0.116 0.521 0.118
P: 0.116 0.979 0.118
P: 0.146 0.250 0.318
P: 0.158 0.566 0.287
P: 0.158 0.934 0.287
P: 0.342 0.066 0.787
P: 0.342 0.434 0.787
P: 0.354 0.750 0.818
P: 0.384 0.021 0.618
P: 0.384 0.479 0.618
P: 0.417 0.250 0.843
P: 0.427 0.071 0.228
P: 0.427 0.429 0.228
P: 0.437 0.575 0.875
P: 0.437 0.925 0.875
P: 0.442 0.250 0.337
P: 0.452 0.750 0.258
P: 0.467 0.568 0.363
P: 0.467 0.932 0.363
P: 0.533 0.068 0.637
P: 0.533 0.432 0.637
P: 0.548 0.250 0.742
P: 0.558 0.750 0.663
P: 0.563 0.075 0.125
P: 0.563 0.425 0.125
P: 0.573 0.571 0.772
P: 0.573 0.929 0.772
P: 0.583 0.750 0.157
P: 0.616 0.521 0.382
P: 0.616 0.979 0.382
P: 0.646 0.250 0.182
P: 0.658 0.566 0.213
P: 0.658 0.934 0.213
P: 0.842 0.066 0.713
P: 0.842 0.434 0.713
P: 0.854 0.750 0.682
P: 0.884 0.021 0.882
P: 0.884 0.479 0.882
P: 0.917 0.250 0.657
P: 0.927 0.071 0.272
P: 0.927 0.429 0.272
P: 0.937 0.575 0.625
P: 0.937 0.925 0.625
P: 0.942 0.250 0.163
P: 0.952 0.750 0.242
P: 0.967 0.568 0.137
P: 0.967 0.932 0.137
Pb: 0.201 0.750 0.997
Pb: 0.299 0.250 0.497
Pb: 0.701 0.750 0.503
Pb: 0.799 0.250 0.003


(10)
Below is a relaxed ZnP6Pb crystal, with properties calculated at the PBE-GGA level.

Values from the calculation:
Its volume is 21.48 Å³/atom. The calculation puts the density of states at the Fermi level at 0.20 states/eV/atom. The energy relative to the elements comes out at 0.368 eV/atom.

Cell lengths 5.560, 5.560, 5.560 Å; angles 90.36, 90.36, 90.36 degrees
Positions (direct):
Zn: 0.000 0.000 0.000
P: 0.064 0.157 0.593
P: 0.157 0.593 0.064
P: 0.407 0.936 0.843
P: 0.593 0.064 0.157
P: 0.843 0.407 0.936
P: 0.936 0.843 0.407
Pb: 0.500 0.500 0.500


(11)
Below is a relaxed Zn2PPb crystal, with properties calculated at the PBE-GGA level.

Values from the calculation:
Its volume is 20.35 Å³/atom. The calculation puts the density of states at the Fermi level at 0.38 states/eV/atom. The energy relative to the elements comes out at 0.345 eV/atom.

Cell lengths 5.396, 5.396, 5.396 Å; angles 133.44, 133.44, 67.97 degrees
Positions (direct):
Zn: 0.250 0.750 0.500
Zn: 0.750 0.250 0.500
P: 0.000 0.000 0.000
Pb: 0.500 0.500 0.000


(12)
Below is a relaxed ZnPPb crystal, with properties calculated at the PBE-GGA level.

Values from the calculation:
Its volume is 22.43 Å³/atom. The calculation puts the density of states at the Fermi level at 0.27 states/eV/atom. The energy relative to the elements comes out at 0.011 eV/atom.

Cell lengths 3.964, 3.964, 4.944 Å; angles 90.00, 90.00, 120.00 degrees
Positions (direct):
Zn: 0.000 0.000 0.000
P: 0.667 0.333 0.128
Pb: 0.333 0.667 0.556


(13)
Below is a relaxed Zn2PPb crystal, with properties calculated at the PBE-GGA level.

Values from the calculation:
Its volume is 20.07 Å³/atom. The calculation puts the density of states at the Fermi level at 0.51 states/eV/atom. The energy relative to the elements comes out at 0.396 eV/atom.

Cell lengths 4.842, 4.842, 4.842 Å; angles 60.00, 60.00, 60.00 degrees
Positions (direct):
Zn: 0.250 0.250 0.250
Zn: 0.750 0.750 0.750
P: 0.000 0.000 0.000
Pb: 0.500 0.500 0.500


(14)
Below is a relaxed Zn4PPb crystal, with properties calculated at the PBE-GGA level.

Values from the calculation:
Its volume is 18.31 Å³/atom. The calculation puts the density of states at the Fermi level at 0.35 states/eV/atom. The energy relative to the elements comes out at 0.280 eV/atom.

Cell lengths 5.376, 5.376, 5.376 Å; angles 60.00, 60.00, 60.00 degrees
Positions (direct):
Zn: 0.125 0.125 0.125
Zn: 0.125 0.125 0.624
Zn: 0.125 0.624 0.125
Zn: 0.624 0.125 0.125
P: 0.500 0.500 0.500
Pb: 0.750 0.750 0.750


(15)
Below is a relaxed Zn2PPb crystal, with properties calculated at the PBE-GGA level.

Values from the calculation:
Its volume is 21.26 Å³/atom. The calculation puts the density of states at the Fermi level at 0.28 states/eV/atom. The energy relative to the elements comes out at 0.115 eV/atom.

Cell lengths 4.488, 4.488, 6.009 Å; angles 109.36, 109.36, 48.97 degrees
Positions (direct):
Zn: 0.000 0.000 0.000
Zn: 0.237 0.237 0.787
P: 0.722 0.722 0.075
Pb: 0.445 0.445 0.506


(16)
Below is a relaxed Zn2PPb crystal, with properties calculated at the PBE-GGA level.

Values from the calculation:
Its volume is 20.36 Å³/atom. The calculation puts the density of states at the Fermi level at 0.31 states/eV/atom. The energy relative to the elements comes out at 0.315 eV/atom.

Cell lengths 4.235, 3.781, 5.466 Å; angles 90.00, 111.52, 90.00 degrees
Positions (direct):
Zn: 0.000 0.000 0.000
Zn: 0.000 0.500 0.500
P: 0.500 0.000 0.500
Pb: 0.500 0.500 0.000


(17)
Below is a relaxed ZnPPb crystal, with properties calculated at the PBE-GGA level.

Values from the calculation:
Its volume is 26.13 Å³/atom. The calculation puts the density of states at the Fermi level at 0.92 states/eV/atom. The energy relative to the elements comes out at 0.508 eV/atom.

Cell lengths 4.804, 4.804, 4.804 Å; angles 60.00, 60.00, 60.00 degrees
Positions (direct):
Zn: 0.000 0.000 0.000
P: 0.500 0.500 0.500
Pb: 0.750 0.750 0.750


(18)
Below is a relaxed ZnPPb crystal, with properties calculated at the PBE-GGA level.

Values from the calculation:
Its volume is 23.50 Å³/atom. The calculation puts the density of states at the Fermi level at 0.40 states/eV/atom. The energy relative to the elements comes out at 0.315 eV/atom.

Cell lengths 4.637, 4.637, 4.637 Å; angles 60.00, 60.00, 60.00 degrees
Positions (direct):
Zn: 0.000 0.000 0.000
P: 0.250 0.250 0.250
Pb: 0.750 0.750 0.750


(19)
Below is a relaxed ZnPPb4 crystal, with properties calculated at the PBE-GGA level.

Values from the calculation:
Its volume is 30.49 Å³/atom. The calculation puts the density of states at the Fermi level at 0.89 states/eV/atom. The energy relative to the elements comes out at 0.609 eV/atom.

Cell lengths 6.372, 6.372, 6.372 Å; angles 60.00, 60.00, 60.00 degrees
Positions (direct):
Zn: 0.000 0.000 0.000
P: 0.750 0.750 0.750
Pb: 0.375 0.375 0.375
Pb: 0.375 0.375 0.875
Pb: 0.375 0.875 0.375
Pb: 0.875 0.375 0.375


(20)
Below is a relaxed Zn2PPb crystal, with properties calculated at the PBE-GGA level.

Values from the calculation:
Its volume is 20.84 Å³/atom. The calculation puts the density of states at the Fermi level at 0.51 states/eV/atom. The energy relative to the elements comes out at 0.073 eV/atom.

Cell lengths 6.907, 6.907, 6.907 Å; angles 32.25, 32.25, 32.25 degrees
Positions (direct):
Zn: 0.224 0.224 0.224
Zn: 0.776 0.776 0.776
P: 0.500 0.500 0.500
Pb: 0.000 0.000 0.000